A relaxed structure of Tl2GaPbI5. Source: the Alexandria database, functional PBE.

Results
The calculation puts the uncorrected formation energy at -5.07 eV/f.u. The value obtained for the density is 5.37 g/cm3.

POSCAR file:
```
Tl2GaPbI5
1.0
4.723 0.000 0.000
-2.362 10.133 0.000
0.000 0.000 17.045
Ga I Tl Pb
2 10 4 2
Cartesian
2.362 1.034 16.195
0.000 9.099 7.673
0.000 9.983 13.138
0.000 5.121 11.413
0.000 1.651 1.210
2.362 5.013 2.890
2.362 8.483 9.733
2.362 2.098 8.568
0.000 8.036 0.045
0.000 5.780 6.898
2.362 0.150 4.616
2.362 4.354 15.421
0.000 2.657 4.602
2.362 8.583 2.611
2.362 7.476 13.124
0.000 1.550 11.134
0.000 4.872 0.546
2.362 5.261 9.068
```